DFT (PBE) results for a geometry-optimized Dy2ZrSc structure.

* energy of formation: 0.091 eV per atom
* crystal system: trigonal
* raw total energy: -5.93 eV/atom
* excess energy over the best structure of this formula in the dataset: 0.0091 eV/atom

Geometry as POSCAR:
```
Dy2ZrSc
1.0
1.690 0.976 10.984
-1.690 0.976 10.984
0.000 -1.951 10.984
Dy Zr Sc
2 1 1
Cartesian
0.000 0.000 8.178 Dy
0.000 0.000 24.773 Dy
0.000 0.000 16.476 Zr
0.000 0.000 0.000 Sc
```

DFT (PBE) results for a geometry-optimized La2SmEr7 structure.

* energy of formation: 0.165 eV per atom
* crystal system: orthorhombic
* raw total energy: -4.49 eV/atom
* excess energy over the best structure of this formula in the dataset: 0.1357 eV/atom

Geometry as POSCAR:
```
La2SmEr7
1.0
3.262 -14.457 0.000
3.262 14.457 0.000
0.000 0.000 3.516
La Sm Er
2 1 7
Cartesian
3.262 8.474 0.000 La
3.262 -8.474 0.000 La
3.262 0.000 1.758 Sm
0.000 0.000 0.000 Er
1.659 2.826 0.000 Er
3.262 5.305 1.758 Er
1.659 -2.826 0.000 Er
4.866 2.826 0.000 Er
3.262 -5.305 1.758 Er
4.866 -2.826 0.000 Er
```

DFT (PBE) results for a geometry-optimized LiMnCCl2 structure.

* crystal system: tetragonal
* raw total energy: -4.00 eV/atom
* energy relative to the elements, uncorrected: 0.80 eV/atom

Geometry as POSCAR:
```
LiMnCCl2
1.0
4.560 0.000 0.000
0.000 4.560 0.000
0.000 0.000 4.214
Li Mn C Cl
1 1 1 2
Cartesian
0.000 0.000 0.000 Li
2.280 2.280 2.107 Mn
0.000 0.000 2.107 C
0.000 2.280 0.000 Cl
2.280 0.000 0.000 Cl
```